# 1
A geometry-optimized LiSbSe structure. Source: the Alexandria database, functional PBE.

Properties
VASP energy in eV/atom: -3.472

Unit cell a=3.7143 b=3.7143 c=5.5953 alpha=90.00 beta=90.00 gamma=120.00
Space group P3m1 (No. 156)
Unique sites:
Li 0.0000 0.0000 0.0000
Sb 0.3333 0.6667 0.3901
Se 0.6667 0.3333 0.7428

=====

# 2
A geometry-optimized Li3SbSe structure. Source: the Alexandria database, functional PBE.

Properties
VASP energy in eV/atom: -3.215
E above lowest polymorph in eV per atom: 0.000

Unit cell a=4.806 b=4.806 c=4.806 alpha=90.00 beta=90.00 gamma=90.00
Space group Pm-3m (No. 221)
Unique sites:
Li 0.000 0.000 0.500
Sb 0.500 0.500 0.500
Se 0.000 0.000 0.000

=====

# 3
A geometry-optimized Li2SbSe structure. Source: the Alexandria database, functional PBE.

Properties
VASP energy in eV/atom: -3.411
E above lowest polymorph in eV per atom: 0.072

Unit cell a=3.191 b=3.191 c=8.601 alpha=90.00 beta=90.00 gamma=90.00
Space group P4mm (No. 99)
Unique sites:
Li 0.000 0.000 0.000
Li 0.500 0.500 0.443
Sb 0.000 0.000 0.667
Se 0.500 0.500 0.154

=====

# 4
A geometry-optimized LiSb4Se6 structure. Source: the Alexandria database, functional PBE.

Properties
VASP energy in eV/atom: -3.861

Unit cell a=6.074 b=6.353 c=9.221 alpha=73.67 beta=72.51 gamma=75.75
Space group P1 (No. 1)
Unique sites:
Li 0.000 0.000 0.000
Sb 0.113 0.262 0.364
Sb 0.445 0.273 0.689
Sb 0.477 0.773 0.241
Sb 0.845 0.706 0.696
Se 0.044 0.703 0.290
Se 0.306 0.176 0.074
Se 0.316 0.706 0.662
Se 0.552 0.258 0.388
Se 0.811 0.661 0.997
Se 0.958 0.270 0.715

=====

# 5
A geometry-optimized LiSbSe structure. Source: the Alexandria database, functional PBE.

Properties
VASP energy in eV/atom: -3.773

Unit cell a=7.820 b=4.377 c=8.986 alpha=90.00 beta=92.79 gamma=90.00
Space group C2/m (No. 12)
Unique sites:
Li 0.226 0.000 0.390
Sb 0.177 0.500 0.089
Se 0.116 0.000 0.665

=====

# 6
A geometry-optimized Li2SbSe structure. Source: the Alexandria database, functional PBE.

Properties
VASP energy in eV/atom: -3.407
E above lowest polymorph in eV per atom: 0.076

Unit cell a=3.498 b=4.226 c=10.994 alpha=90.00 beta=90.00 gamma=90.00
Space group Imm2 (No. 44)
Unique sites:
Li 0.000 0.000 0.000
Li 0.000 0.500 0.207
Sb 0.000 0.500 0.798
Se 0.000 0.000 0.520

=====

# 7
A geometry-optimized Li2SbSe structure. Source: the Alexandria database, functional PBE.

Properties
VASP energy in eV/atom: -3.388
E above lowest polymorph in eV per atom: 0.094

Unit cell a=7.554 b=7.554 c=5.860 alpha=90.00 beta=90.00 gamma=90.00
Space group I-42d (No. 122)
Unique sites:
Li 0.199 0.250 0.125
Sb 0.000 0.000 0.500
Se 0.000 0.000 0.000

=====

# 8
A geometry-optimized Li2SbSe2 structure. Source: the Alexandria database, functional PBE.

Properties
VASP energy in eV/atom: -3.705
E above lowest polymorph in eV per atom: 0.000

Unit cell a=6.445 b=6.707 c=6.855 alpha=74.10 beta=63.49 gamma=63.23
Space group P-1 (No. 2)
Unique sites:
Li 0.236 0.009 0.222
Li 0.261 0.261 0.500
Sb 0.261 0.612 0.862
Se 0.169 0.676 0.514
Se 0.345 0.972 0.820

=====

# 9
A geometry-optimized LiSbSe structure. Source: the Alexandria database, functional PBE.

Properties
VASP energy in eV/atom: -3.786

Unit cell a=6.421 b=4.285 c=7.461 alpha=90.00 beta=115.09 gamma=90.00
Space group Pm (No. 6)
Unique sites:
Li 0.000 0.000 0.000
Li 0.416 0.500 0.551
Sb 0.461 0.000 0.998
Sb 0.731 0.500 0.264
Se 0.096 0.500 0.199
Se 0.603 0.000 0.723

=====

# 10
A geometry-optimized LiSbSe structure. Source: the Alexandria database, functional PBE.

Properties
VASP energy in eV/atom: -3.759

Unit cell a=4.604 b=7.287 c=10.907 alpha=90.00 beta=90.00 gamma=90.00
Space group Ama2 (No. 40)
Unique sites:
Li 0.250 0.122 0.000
Sb 0.250 0.368 0.772
Se 0.250 0.270 0.545

=====

# 11
A geometry-optimized LiSbSe structure. Source: the Alexandria database, functional PBE.

Properties
VASP energy in eV/atom: -3.452

Unit cell a=2.951 b=2.951 c=16.330 alpha=90.00 beta=90.00 gamma=90.00
Space group I4mm (No. 107)
Unique sites:
Li 0.000 0.000 0.000
Sb 0.000 0.000 0.654
Se 0.000 0.000 0.394

=====

# 12
A geometry-optimized Li4SbSe5 structure. Source: the Alexandria database, functional PBE.

Properties
VASP energy in eV/atom: -3.600

Unit cell a=8.696 b=8.696 c=5.625 alpha=90.00 beta=90.00 gamma=90.00
Space group I4 (No. 79)
Unique sites:
Li 0.121 0.287 0.000
Sb 0.000 0.000 0.458
Se 0.000 0.000 0.001
Se 0.081 0.293 0.508

=====

# 13
A geometry-optimized Li2SbSe structure. Source: the Alexandria database, functional PBE.

Properties
VASP energy in eV/atom: -3.422
E above lowest polymorph in eV per atom: 0.061

Unit cell a=3.641 b=5.129 c=8.626 alpha=90.00 beta=90.00 gamma=90.00
Space group Immm (No. 71)
Unique sites:
Li 0.000 0.000 0.219
Sb 0.000 0.500 0.000
Se 0.000 0.500 0.500

=====

# 14
A geometry-optimized Li2SbSe structure. Source: the Alexandria database, functional PBE.

Properties
VASP energy in eV/atom: -3.440
E above lowest polymorph in eV per atom: 0.043

Unit cell a=8.770 b=3.684 c=5.115 alpha=90.00 beta=107.07 gamma=90.00
Space group C2/m (No. 12)
Unique sites:
Li 0.235 0.000 0.225
Sb 0.000 0.000 0.500
Se 0.000 0.500 0.000

=====

# 15
A geometry-optimized Li4SbSe4 structure. Source: the Alexandria database, functional PBE.

Properties
VASP energy in eV/atom: -3.603

Unit cell a=6.367 b=6.367 c=11.840 alpha=90.00 beta=90.00 gamma=90.00
Space group I-42m (No. 121)
Unique sites:
Li 0.000 0.000 0.230
Li 0.000 0.500 0.000
Sb 0.000 0.000 0.500
Se 0.234 0.234 0.630

=====

# 16
A geometry-optimized Li2SbSe4 structure. Source: the Alexandria database, functional PBE.

Properties
VASP energy in eV/atom: -3.610

Unit cell a=7.980 b=10.606 c=3.740 alpha=90.00 beta=90.00 gamma=90.00
Space group Pbam (No. 55)
Unique sites:
Li 0.164 0.208 0.000
Sb 0.000 0.500 0.500
Se 0.087 0.745 0.500
Se 0.248 0.458 0.000

=====

# 17
A geometry-optimized Li2SbSe2 structure. Source: the Alexandria database, functional PBE.

Properties
VASP energy in eV/atom: -3.656
E above lowest polymorph in eV per atom: 0.049

Unit cell a=7.633 b=7.633 c=3.670 alpha=90.00 beta=90.00 gamma=90.00
Space group P4/mbm (No. 127)
Unique sites:
Li 0.138 0.362 0.000
Sb 0.000 0.000 0.500
Se 0.173 0.673 0.500

=====

# 18
A geometry-optimized Li2SbSe structure. Source: the Alexandria database, functional PBE.

Properties
VASP energy in eV/atom: -3.285
E above lowest polymorph in eV per atom: 0.198

Unit cell a=3.606 b=3.606 c=6.170 alpha=90.00 beta=90.00 gamma=90.00
Space group P4mm (No. 99)
Unique sites:
Li 0.000 0.000 0.000
Li 0.500 0.500 0.302
Sb 0.000 0.000 0.547
Se 0.500 0.500 0.895

=====

# 19
A geometry-optimized Li2SbSe structure. Source: the Alexandria database, functional PBE.

Properties
VASP energy in eV/atom: -3.424
E above lowest polymorph in eV per atom: 0.058

Unit cell a=5.828 b=7.694 c=3.567 alpha=90.00 beta=90.29 gamma=90.00
Space group C2/m (No. 12)
Unique sites:
Li 0.250 0.250 0.000
Sb 0.000 0.000 0.500
Se 0.000 0.500 0.500

=====

# 20
A geometry-optimized Li3SbSe3 structure. Source: the Alexandria database, functional PBE.

Properties
VASP energy in eV/atom: -3.762

Unit cell a=7.4660 b=7.4660 c=20.3180 alpha=90.00 beta=90.00 gamma=120.00
Space group R-3 (No. 148, hexagonal axes)
Unique sites:
Li 0.0108 0.7068 0.1180
Sb 0.0000 0.0000 0.3231
Se 0.0137 0.6403 0.9142